! PBE Hf2HgSb, relaxed; values from VASP
! excess energy over the best structure of this formula in the dataset	83	meV/atom
! spin magnetization	0.000	μB/atom
! total energy	-24.610	eV per formula unit
! raw formation energy	-0.070	eV/atom
! space-group type	R-3m, No. 166
&SYSTEM
  ibrav = 0, nat = 4, ntyp = 3
/
ATOMIC_SPECIES
Hg 200.59 Hg.upf
Hf 178.49 Hf.upf
Sb 121.76 Sb.upf
ATOMIC_POSITIONS angstrom
Hg 3.956 2.284 3.537
Hf 5.934 3.426 5.299
Hf 1.978 1.142 1.775
Sb 0.000 0.000 0.000
CELL_PARAMETERS angstrom
3.956 0.000 0.000
1.978 3.426 0.000
1.978 1.142 7.074



! PBE TbCdHg, relaxed; values from VASP
! spin magnetization	0.057	μB/atom
! total energy	-6.735	eV per formula unit
! space-group type	I4mm, No. 107
&SYSTEM
  ibrav = 0, nat = 3, ntyp = 3
/
ATOMIC_SPECIES
Tb 158.93 Tb.upf
Cd 112.41 Cd.upf
Hg 200.59 Hg.upf
ATOMIC_POSITIONS angstrom
Tb 1.747 1.747 5.518
Cd 0.000 0.000 3.361
Hg 1.747 1.747 1.454
CELL_PARAMETERS angstrom
3.494 0.000 0.000
0.000 3.494 0.000
-1.747 -1.747 6.078